1.
Computed, not measured: an optimized crystal structure of CdBr2N at the PBE-GGA level of DFT.

Properties
Total magnetization = 0.00 μB/f.u.
E above lowest polymorph = 178 meV/atom

Lattice parameters (Å, degrees): 6.866 6.866 6.866 120.14 120.14 89.77
Fractional positions:
Cd 0.375 0.625 0.750
Cd 0.625 0.375 0.250
Br 0.000 0.000 0.000
Br 0.000 0.000 0.500
Br 0.000 0.500 0.000
Br 0.500 0.000 0.500
N 0.125 0.875 0.250
N 0.875 0.125 0.750

2.
Computed, not measured: an optimized crystal structure of CeGaGeO at the PBE-GGA level of DFT.

Properties
Uncorrected energy = -6.21 eV/atom
Total magnetization = 0.76 μB/f.u.

Lattice parameters (Å, degrees): 4.117 4.117 8.785 90.00 90.00 90.00
Fractional positions:
Ce 0.250 0.250 0.134
Ce 0.750 0.750 0.866
Ga 0.250 0.750 0.500
Ga 0.750 0.250 0.500
Ge 0.250 0.250 0.685
Ge 0.750 0.750 0.315
O 0.250 0.750 0.000
O 0.750 0.250 0.000

3.
Computed, not measured: an optimized crystal structure of AlGa2Ni3 at the PBE-GGA level of DFT.

Properties
Total magnetization = 0.00 μB/f.u.
Energy relative to the elements = -465 meV per atom

Lattice parameters (Å, degrees): 4.123 4.123 5.011 90.00 90.00 120.00
Fractional positions:
Al 0.000 0.000 0.000
Ga 0.333 0.667 0.672
Ga 0.667 0.333 0.328
Ni 0.000 0.000 0.500
Ni 0.333 0.667 0.170
Ni 0.667 0.333 0.830

4.
Computed, not measured: an optimized crystal structure of Ag3PdI at the PBE-GGA level of DFT.

Properties
Total magnetization = 0.00 μB/f.u.
E above lowest polymorph = 0 meV/atom

Lattice parameters (Å, degrees): 5.147 5.147 5.147 90.00 90.00 90.00
Fractional positions:
Ag 0.000 0.000 0.500
Ag 0.000 0.500 0.000
Ag 0.500 0.000 0.000
Pd 0.000 0.000 0.000
I 0.500 0.500 0.500